First-principles (PBE) data for a relaxed structure of Ag4TeI3, as listed in Alexandria via LeMat-Bulk.

Output
The raw formation energy comes out at -2.03 kcal/mol of atoms. As for the spin magnetization: 0.0 μB per formula unit. The space group is Imm2, No. 44. The value obtained for the volume is 37.99 Å³ per atom.

Structure (POSCAR):
```
Ag4TeI3
1.0
-4.204 4.261 4.242
4.204 -4.261 4.242
4.204 4.261 -4.242
Ag Te I
4 1 3
Direct
0.182 0.000 0.182 Ag
0.201 0.528 0.327 Ag
0.201 0.874 0.673 Ag
0.818 0.000 0.818 Ag
0.466 0.966 0.500 Te
0.318 0.318 0.000 I
0.882 0.148 0.266 I
0.882 0.616 0.734 I
```